1.
VASP calculation (PBE) on a relaxed LaSc2Pt crystal.

abc: 4.3492 4.3492 4.9496
angles: 90.00 90.00 90.00
Positions (direct):
La  0.0000  0.0000  0.0000
Sc  0.0000  0.5000  0.5000
Sc  0.5000  0.0000  0.5000
Pt  0.5000  0.5000  0.0000

Values from the calculation:
Energy of formation = -0.4073 eV per atom
SG = No. 123



2.
VASP calculation (PBE) on a relaxed La2Sc2Pt crystal.

abc: 7.0154 7.0154 5.5180
angles: 90.00 90.00 90.00
Positions (direct):
La  0.1673  0.3327  0.0000
La  0.3327  0.8327  0.0000
La  0.6673  0.1673  0.0000
La  0.8327  0.6673  0.0000
Sc  0.1562  0.6562  0.5000
Sc  0.3438  0.1562  0.5000
Sc  0.6562  0.8438  0.5000
Sc  0.8438  0.3438  0.5000
Pt  0.0000  0.0000  0.5000
Pt  0.5000  0.5000  0.5000

Values from the calculation:
Energy of formation = -0.3844 eV per atom
SG = No. 127